# 1
First-principles (PBE) data for a relaxed structure of CsTl2Cl6, as listed in the Alexandria database.

Summary:
* crystal system: trigonal

abc: 7.3654 7.3654 7.3003
angles: 90.00 90.00 120.00
Element x y z (fractional)
1 Tl 0.6667 0.3333 0.5000
2 Tl 0.3333 0.6667 0.5000
3 Cl 0.6116 0.0000 0.2900
4 Cl 0.0000 0.3884 0.7100
5 Cl 0.3884 0.0000 0.7100
6 Cl 0.6116 0.6116 0.7100
7 Cl 0.3884 0.3884 0.2900
8 Cl 0.0000 0.6116 0.2900
9 Cs 0.0000 0.0000 0.0000


# 2
First-principles (PBE) data for a relaxed structure of Cs2TlCl7, as listed in the Alexandria database.

Summary:
* crystal system: tetragonal

abc: 7.4948 7.4948 8.0238
angles: 62.16 62.16 90.00
Element x y z (fractional)
1 Cl 0.5000 0.5000 0.0000
2 Cl 0.2478 0.2478 0.0000
3 Cl 0.7825 0.7825 0.4350
4 Cl 0.7522 0.7522 0.0000
5 Cl 0.2175 0.2175 0.5650
6 Cl 0.2478 0.7522 0.0000
7 Cl 0.7522 0.2478 0.0000
8 Cs 0.2500 0.7500 0.5000
9 Cs 0.7500 0.2500 0.5000
10 Tl 0.0000 0.0000 0.0000


# 3
First-principles (PBE) data for a relaxed structure of Cs3Tl2Cl6, as listed in the Alexandria database.

Summary:
* crystal system: tetragonal

abc: 5.7699 5.7699 14.0590
angles: 101.84 101.84 90.00
Element x y z (fractional)
1 Cl 0.0836 0.5836 0.1671
2 Cl 0.9164 0.4164 0.8329
3 Cl 0.6978 0.6978 0.3956
4 Cl 0.3022 0.3022 0.6044
5 Cl 0.5836 0.0836 0.1671
6 Cl 0.4164 0.9164 0.8329
7 Cs 0.0000 0.0000 0.0000
8 Cs 0.8243 0.8243 0.6486
9 Cs 0.1757 0.1757 0.3514
10 Tl 0.4053 0.4053 0.8106
11 Tl 0.5947 0.5947 0.1894


# 4
First-principles (PBE) data for a relaxed structure of Cs2TlCl, as listed in the Alexandria database.

Summary:
* crystal system: trigonal

abc: 4.5653 4.5653 12.3561
angles: 79.35 79.35 60.00
Element x y z (fractional)
1 Cl 0.5000 0.5000 0.5000
2 Tl 0.0000 0.0000 0.0000
3 Cs 0.1053 0.1053 0.6840
4 Cs 0.8947 0.8947 0.3160


# 5
First-principles (PBE) data for a relaxed structure of CsTl2Cl8, as listed in the Alexandria database.

Summary:
* crystal system: tetragonal

abc: 6.5501 6.5501 8.6957
angles: 90.00 90.00 90.00
Element x y z (fractional)
1 Cl 0.2481 0.2481 0.8116
2 Cl 0.7519 0.2481 0.1884
3 Cl 0.2481 0.2481 0.1884
4 Cl 0.7519 0.7519 0.8116
5 Cl 0.2481 0.7519 0.8116
6 Cl 0.7519 0.7519 0.1884
7 Cl 0.7519 0.2481 0.8116
8 Cl 0.2481 0.7519 0.1884
9 Cs 0.5000 0.5000 0.5000
10 Tl 0.5000 0.0000 0.0000
11 Tl 0.0000 0.5000 0.0000


# 6
First-principles (PBE) data for a relaxed structure of CsTl2Cl7, as listed in the Alexandria database.

Summary:
* crystal system: orthorhombic

abc: 4.4658 10.5440 10.5440
angles: 134.23 90.00 90.00
Element x y z (fractional)
1 Cl 0.0000 0.2870 0.7130
2 Cl 0.5000 0.5000 0.5000
3 Cl 0.0000 0.7130 0.2870
4 Cl 0.5000 0.0709 0.3295
5 Cl 0.5000 0.9291 0.6705
6 Cl 0.5000 0.3295 0.0709
7 Cl 0.5000 0.6705 0.9291
8 Tl 0.5000 0.3608 0.6392
9 Tl 0.5000 0.6392 0.3608
10 Cs 0.0000 0.0000 0.0000


# 7
First-principles (PBE) data for a relaxed structure of Cs2TlCl5, as listed in the Alexandria database.

Summary:
* crystal system: tetragonal

abc: 7.4856 7.4856 7.4856
angles: 97.72 115.65 115.65
Element x y z (fractional)
1 Cs 0.5000 0.7418 0.2418
2 Cs 0.5000 0.2418 0.7418
3 Cl 0.0000 0.7556 0.2044
4 Cl 0.0000 0.2044 0.7556
5 Cl 0.4488 0.2044 0.2044
6 Cl 0.0000 0.2860 0.2860
7 Cl 0.5512 0.7556 0.7556
8 Tl 0.0000 0.0324 0.0324


# 8
First-principles (PBE) data for a relaxed structure of Cs2TlCl3, as listed in the Alexandria database.

Summary:
* crystal system: trigonal

abc: 8.2076 8.2076 9.6148
angles: 64.73 64.73 60.00
Element x y z (fractional)
1 Cl 0.8950 0.6050 0.2500
2 Cl 0.6050 0.2500 0.2500
3 Cl 0.3950 0.7500 0.7500
4 Cl 0.2500 0.8950 0.2500
5 Cl 0.7500 0.1050 0.7500
6 Cl 0.1050 0.3950 0.7500
7 Cs 0.1691 0.1691 0.4927
8 Cs 0.8309 0.8309 0.5073
9 Cs 0.3309 0.3309 0.0073
10 Cs 0.6691 0.6691 0.9927
11 Tl 0.0000 0.0000 0.0000
12 Tl 0.5000 0.5000 0.5000


# 9
First-principles (PBE) data for a relaxed structure of Cs2TlCl6, as listed in the Alexandria database.

Summary:
* crystal system: monoclinic

abc: 6.2771 7.5085 8.8438
angles: 115.12 110.65 90.00
Element x y z (fractional)
1 Cs 0.3346 0.3332 0.6665
2 Cs 0.6654 0.6668 0.3335
3 Cl 0.5000 0.8300 0.0000
4 Cl 0.5000 0.1700 0.0000
5 Cl 0.8754 0.6377 0.7491
6 Cl 0.1246 0.8887 0.2509
7 Cl 0.1246 0.3623 0.2509
8 Cl 0.8754 0.1113 0.7491
9 Tl 0.0000 0.0000 0.0000


# 10
First-principles (PBE) data for a relaxed structure of CsTl4Cl5, as listed in the Alexandria database.

Summary:
* crystal system: orthorhombic

abc: 4.6596 6.6463 12.3951
angles: 105.55 100.83 90.00
Element x y z (fractional)
1 Tl 0.2037 0.2037 0.4073
2 Tl 0.7963 0.7963 0.5927
3 Tl 0.3977 0.3977 0.7953
4 Tl 0.6023 0.6023 0.2047
5 Cl 0.3900 0.8900 0.7800
6 Cl 0.1963 0.6963 0.3926
7 Cl 0.0000 0.5000 0.0000
8 Cl 0.6100 0.1100 0.2200
9 Cl 0.8037 0.3037 0.6074
10 Cs 0.0000 0.0000 0.0000


# 11
First-principles (PBE) data for a relaxed structure of Cs2TlCl5, as listed in the Alexandria database.

Summary:
* crystal system: orthorhombic

abc: 7.6314 9.6666 15.2742
angles: 90.00 90.00 90.00
Element x y z (fractional)
1 Tl 0.2500 0.6865 0.5682
2 Tl 0.7500 0.3135 0.4318
3 Tl 0.2500 0.1865 0.9318
4 Tl 0.7500 0.8135 0.0682
5 Cl 0.7500 0.7098 0.9121
6 Cl 0.0054 0.6595 0.1211
7 Cl 0.5054 0.8405 0.6211
8 Cl 0.2500 0.5277 0.7009
9 Cl 0.2500 0.7902 0.4121
10 Cl 0.7500 0.2098 0.5879
11 Cl 0.7500 0.9723 0.2009
12 Cl 0.7500 0.4723 0.2991
13 Cl 0.2500 0.2902 0.0879
14 Cl 0.4946 0.1595 0.3789
15 Cl 0.0054 0.1595 0.3789
16 Cl 0.9946 0.3405 0.8789
17 Cl 0.5000 0.5000 0.5000
18 Cl 0.5000 0.0000 0.0000
19 Cl 0.5054 0.3405 0.8789
20 Cl 0.2500 0.0277 0.7991
21 Cl 0.0000 0.0000 0.0000
22 Cl 0.9946 0.8405 0.6211
23 Cl 0.4946 0.6595 0.1211
24 Cl 0.0000 0.5000 0.5000
25 Cs 0.7500 0.3235 0.0799
26 Cs 0.7500 0.5339 0.7025
27 Cs 0.2500 0.1765 0.5799
28 Cs 0.2500 0.6765 0.9201
29 Cs 0.7500 0.8235 0.4201
30 Cs 0.2500 0.9661 0.2025
31 Cs 0.2500 0.4661 0.2975
32 Cs 0.7500 0.0339 0.7975


# 12
First-principles (PBE) data for a relaxed structure of CsTlCl6, as listed in the Alexandria database.

Summary:
* crystal system: trigonal

abc: 6.4701 6.4701 6.4701
angles: 95.68 95.68 95.68
Element x y z (fractional)
1 Tl 0.5000 0.5000 0.5000
2 Cl 0.5830 0.2132 0.2132
3 Cl 0.2132 0.2132 0.5830
4 Cl 0.7868 0.4170 0.7868
5 Cl 0.7868 0.7868 0.4170
6 Cl 0.4170 0.7868 0.7868
7 Cl 0.2132 0.5830 0.2132
8 Cs 0.0000 0.0000 0.0000


no.,raw formation energy (eV/atom)
1,-0.977
2,-0.982
3,-1.465
4,-0.759
5,-0.587
6,-0.897
7,-1.386
8,-1.618
9,-1.100
10,-1.201
11,-1.398
12,-0.615